# 1
Entry from the Alexandria database: PrTm3Sc2 after structural relaxation (GGA-PBE).

```
data_PrTm3Sc2
_space_group_name_H-M_alt 'P 1'
_space_group_IT_number 1
_cell_length_a 3.3924
_cell_length_b 9.8715
_cell_length_c 11.3630
_cell_angle_alpha 107.91
_cell_angle_beta 98.58
_cell_angle_gamma 90.00
loop_
_space_group_symop_operation_xyz
'x,y,z'
loop_
_atom_site_label
_atom_site_type_symbol
_atom_site_fract_x
_atom_site_fract_y
_atom_site_fract_z
_atom_site_occupancy
Sc1 Sc 0.9319 0.8567 0.8638 1
Tm1 Tm 0.6964 0.7087 0.3928 1
Pr1 Pr 0.6809 0.0460 0.3618 1
Sc2 Sc 0.3076 0.6242 0.6151 1
Sc3 Sc 0.6924 0.3758 0.3849 1
Tm2 Tm 0.4402 0.5622 0.8803 1
Tm3 Tm 0.9334 0.2351 0.8668 1
Sc4 Sc 0.0681 0.1433 0.1362 1
Tm4 Tm 0.5598 0.4378 0.1197 1
Tm5 Tm 0.0666 0.7649 0.1332 1
Pr2 Pr 0.3191 0.9540 0.6382 1
Tm6 Tm 0.3036 0.2913 0.6072 1
```

Results
formation enthalpy at 0 K = 0.1497 eV per atom
total energy = -59.92 eV per cell
ΔE to the lowest computed polymorph = 0 meV per atom
space group = C2/m (12)

# 2
Entry from the Alexandria database: Pr3Tm8Sc2 after structural relaxation (GGA-PBE).

```
data_Pr3Tm8Sc2
_space_group_name_H-M_alt 'P 1'
_space_group_IT_number 1
_cell_length_a 5.5362
_cell_length_b 7.7149
_cell_length_c 10.4668
_cell_angle_alpha 111.63
_cell_angle_beta 90.03
_cell_angle_gamma 90.00
loop_
_space_group_symop_operation_xyz
'x,y,z'
loop_
_atom_site_label
_atom_site_type_symbol
_atom_site_fract_x
_atom_site_fract_y
_atom_site_fract_z
_atom_site_occupancy
Tm1 Tm 0.4996 0.1763 0.7692 1
Sc1 Sc 0.4990 0.2401 0.4801 1
Tm2 Tm 0.4996 0.5928 0.7692 1
Pr1 Pr 0.0000 0.2952 0.0000 1
Tm3 Tm 0.5004 0.4072 0.2308 1
Tm4 Tm 0.0009 0.6787 0.3575 1
Tm5 Tm 0.9991 0.3213 0.6425 1
Sc2 Sc 0.5010 0.7599 0.5199 1
Tm6 Tm 0.5004 0.8237 0.2308 1
Tm7 Tm 0.0003 0.8627 0.7254 1
Pr2 Pr 0.0000 0.7048 0.0000 1
Tm8 Tm 0.9997 0.1373 0.2746 1
Pr3 Pr 0.5000 0.0000 0.0000 1
```

Results
formation enthalpy at 0 K = 0.2580 eV per atom
total energy = -59.42 eV per cell
space group = C2/m (12)

# 3
Entry from the Alexandria database: PrTm3Sc6 after structural relaxation (GGA-PBE).

```
data_PrTm3Sc6
_space_group_name_H-M_alt 'P 1'
_space_group_IT_number 1
_cell_length_a 9.2401
_cell_length_b 9.2401
_cell_length_c 6.5302
_cell_angle_alpha 44.97
_cell_angle_beta 44.97
_cell_angle_gamma 60.00
loop_
_space_group_symop_operation_xyz
'x,y,z'
loop_
_atom_site_label
_atom_site_type_symbol
_atom_site_fract_x
_atom_site_fract_y
_atom_site_fract_z
_atom_site_occupancy
Tm1 Tm 0.6469 0.6469 0.0592 1
Tm2 Tm 0.1518 0.1518 0.5445 1
Sc1 Sc 0.5646 0.2358 0.2990 1
Sc2 Sc 0.0709 0.4006 0.7989 1
Sc3 Sc 0.7296 0.0709 0.7989 1
Sc4 Sc 0.9006 0.5646 0.2990 1
Pr1 Pr 0.8997 0.8997 0.3010 1
Sc5 Sc 0.2358 0.9006 0.2990 1
Tm3 Tm 0.3995 0.3995 0.8014 1
Sc6 Sc 0.4006 0.7296 0.7989 1
```

Results
formation enthalpy at 0 K = 0.3988 eV per atom
total energy = -52.20 eV per cell
ΔE to the lowest computed polymorph = 241 meV per atom
space group = R3 (146)

In Bohr magnetons per cell, the magnetization values for the records above are, in order, 0.00, 0.00, 0.01.